Entry 1:
# GGA-PBEsol AlCdAu2, optimized geometry
data_AlCdAu2
_chemical_formula_sum 'Al1 Cd1 Au2'
_symmetry_space_group_name_H-M 'P 1'
_symmetry_Int_Tables_number 1
_cell_length_a 3.047
_cell_length_b 3.047
_cell_length_c 8.827
_cell_angle_alpha 80.06
_cell_angle_beta 80.06
_cell_angle_gamma 60.00
loop_
_symmetry_equiv_pos_as_xyz
'x,y,z'
loop_
_atom_site_label
_atom_site_type_symbol
_atom_site_fract_x
_atom_site_fract_y
_atom_site_fract_z
Au1 Au 0.258 0.258 0.226
Au2 Au 0.742 0.742 0.774
Al1 Al 0.000 0.000 0.000
Cd1 Cd 0.500 0.500 0.500
# ρ	12.73	g cm⁻³
# SG	R-3m (166)
# distance to the lowest polymorph of the same formula	0.0593	eV per atom
# ΔH_f (0 K)	-230	meV per atom
# calculated total energy	-14.06	eV per cell


Entry 2:
# GGA-PBEsol RbLi2Ir, optimized geometry
data_RbLi2Ir
_chemical_formula_sum 'Rb2 Li4 Ir2'
_symmetry_space_group_name_H-M 'P 1'
_symmetry_Int_Tables_number 1
_cell_length_a 5.251
_cell_length_b 5.251
_cell_length_c 8.709
_cell_angle_alpha 107.55
_cell_angle_beta 107.55
_cell_angle_gamma 90.00
loop_
_symmetry_equiv_pos_as_xyz
'x,y,z'
loop_
_atom_site_label
_atom_site_type_symbol
_atom_site_fract_x
_atom_site_fract_y
_atom_site_fract_z
Ir1 Ir 0.000 0.000 0.000
Ir2 Ir 0.250 0.750 0.500
Rb1 Rb 0.500 0.500 0.000
Rb2 Rb 0.750 0.250 0.500
Li1 Li 0.625 0.875 0.750
Li2 Li 0.125 0.875 0.750
Li3 Li 0.125 0.875 0.250
Li4 Li 0.125 0.375 0.250
# ρ	4.46	g cm⁻³
# SG	I4_1/amd (141)
# distance to the lowest polymorph of the same formula	0.1258	eV per atom
# ΔH_f (0 K)	710	meV per atom
# calculated total energy	-23.88	eV per cell